Record 1
Density functional theory data (PBE) for BaBeAs2Ir after structural relaxation.

extended XYZ file:
```
5
Lattice="-2.025 2.025 6.400 2.025 -2.025 6.400 2.025 2.025 -6.400" Properties=species:S:1:pos:R:3 pbc="T T T"
Ba 0.000 0.000 0.000
Be 2.025 0.000 3.200
As 0.000 0.000 8.231
As 0.000 0.000 4.568
Ir 0.000 2.025 3.200
```

Calculated values
VASP energy = -5.249 eV per atom
symmetry = I-4m2 (119)
magnetization = 0.0004 μB per atom

Record 2
Density functional theory data (PBE) for Ba2CdBiAs after structural relaxation.

extended XYZ file:
```
10
Lattice="-2.999 8.233 -4.315 2.078 -5.219 7.990 7.580 2.627 -0.256" Properties=species:S:1:pos:R:3 pbc="T T T"
Bi 4.052 0.422 3.858
Bi 6.074 6.420 -0.555
As 4.356 9.898 -3.838
As 5.053 -3.304 7.165
Cd 2.203 -3.763 6.827
Cd 1.859 8.504 -3.320
Ba 7.481 1.346 3.959
Ba 4.910 3.775 1.323
Ba 1.392 1.743 2.109
Ba 1.746 5.185 -0.626
```

Calculated values
symmetry = Cmc2_1 (36)
energy above the lowest structure with this stoichiometry = 24 meV/atom

Record 3
Density functional theory data (PBE) for Ba2CdBiAs after structural relaxation.

extended XYZ file:
```
10
Lattice="2.409 -8.943 0.000 2.409 8.943 0.000 0.000 0.000 8.580" Properties=species:S:1:pos:R:3 pbc="T T T"
As 2.409 5.924 0.007
As 2.409 -5.924 4.297
Ba 2.409 5.041 3.166
Ba 2.409 -5.041 7.456
Ba 2.409 8.270 6.361
Ba 2.409 -8.270 2.071
Bi 2.409 1.272 8.093
Bi 2.409 -1.272 3.804
Cd 2.409 -1.703 0.685
Cd 2.409 1.703 4.974
```

Calculated values
symmetry = Cmc2_1 (36)
energy above the lowest structure with this stoichiometry = 0 meV/atom